(1)
{"formula": "AlCl3", "functional": "PBE-GGA", "state": "optimized geometry", "density_g_cm3": 2.76, "m_tot_mub_per_fu": 0.00, "e_form_raw_ev_per_atom": -0.63, "dos_ef_per_ev_atom": 0.324, "volume_a3_per_fu": 80.3, "lattice_angstrom": [[-6.6089, 1.7246, 2.5859], [-6.3062, -1.8548, 3.1828], [-4.7842, 0.5117, 5.4944]], "species": ["Al", "Cl", "Cl", "Cl"], "frac_coords": [[0.0000, 0.0000, 0.0000], [0.7272, 0.7272, 0.7272], [0.5000, 0.5000, 0.5000], [0.2728, 0.2728, 0.2728]]}

(2)
{"formula": "AlCl5", "functional": "PBE-GGA", "state": "optimized geometry", "density_g_cm3": 2.11, "m_tot_mub_per_fu": 3.33, "e_form_raw_ev_per_atom": 0.55, "dos_ef_per_ev_atom": 0.702, "relative_energy_mev_per_atom": 1475.8, "volume_a3_per_fu": 160.5, "lattice_angstrom": [[-5.8949, -0.6501, 1.6300], [4.4523, -2.2398, 3.6041], [0.1955, 4.2615, 2.4069]], "species": ["Al", "Cl", "Cl", "Cl", "Cl", "Cl"], "frac_coords": [[0.0000, 0.0000, 0.0000], [0.3333, 0.6667, 0.0000], [0.6667, 0.3333, 0.0000], [0.5000, 0.0000, 0.5000], [0.0000, 0.5000, 0.5000], [0.5000, 0.5000, 0.5000]]}

(3)
{"formula": "AlCl3", "functional": "PBE-GGA", "state": "optimized geometry", "density_g_cm3": 1.55, "m_tot_mub_per_fu": 0.00, "e_form_raw_ev_per_atom": -1.50, "dos_ef_per_ev_atom": 0.000, "volume_a3_per_fu": 143.1, "lattice_angstrom": [[7.2615, 0.1577, -0.0337], [-3.1770, 6.5305, -0.2433], [-3.3564, -2.2950, 6.0748]], "species": ["Al", "Al", "Cl", "Cl", "Cl", "Cl", "Cl", "Cl"], "frac_coords": [[0.9314, 0.8454, 0.7767], [0.0686, 0.1546, 0.2233], [0.3434, 0.1923, 0.5353], [0.7929, 0.7926, 0.0001], [0.1138, 0.6823, 0.7949], [0.6566, 0.8077, 0.4647], [0.2071, 0.2074, 0.9999], [0.8862, 0.3177, 0.2051]]}

(4)
{"formula": "AlCl2", "functional": "PBE-GGA", "state": "optimized geometry", "density_g_cm3": 2.09, "m_tot_mub_per_fu": 0.00, "e_form_raw_ev_per_atom": -0.54, "dos_ef_per_ev_atom": 0.612, "volume_a3_per_fu": 77.9, "lattice_angstrom": [[13.1275, 0.2341, 5.8251], [10.5800, 1.2138, 9.6390], [-12.0236, -3.0140, -7.2572]], "species": ["Al", "Al", "Cl", "Cl", "Cl", "Cl"], "frac_coords": [[0.0000, 0.0000, 0.0000], [0.7500, 0.2500, 0.5000], [0.5526, 0.5526, 0.0000], [0.1974, 0.6974, 0.5000], [0.4474, 0.4474, 0.0000], [0.3026, 0.8026, 0.5000]]}

(5)
{"formula": "AlCl2", "functional": "PBE-GGA", "state": "optimized geometry", "density_g_cm3": 1.77, "m_tot_mub_per_fu": 0.00, "e_form_raw_ev_per_atom": -1.23, "dos_ef_per_ev_atom": 0.000, "volume_a3_per_fu": 92.1, "lattice_angstrom": [[1.6272, 7.1099, -0.0383], [-1.6272, 7.1099, -0.0383], [0.0000, 3.0363, 7.9406]], "species": ["Al", "Al", "Cl", "Cl", "Cl", "Cl"], "frac_coords": [[0.9863, 0.9863, 0.6573], [0.0137, 0.0137, 0.3427], [0.3631, 0.3631, 0.7900], [0.5937, 0.5937, 0.7063], [0.4063, 0.4063, 0.2937], [0.6369, 0.6369, 0.2100]]}

(6)
{"formula": "AlCl2", "functional": "PBE-GGA", "state": "optimized geometry", "density_g_cm3": 2.63, "m_tot_mub_per_fu": 0.00, "e_form_raw_ev_per_atom": -0.58, "dos_ef_per_ev_atom": 0.295, "volume_a3_per_fu": 61.8, "lattice_angstrom": [[-2.1178, 2.3287, 4.4304], [0.1903, 3.6921, -3.9835], [-3.0811, -4.2085, -1.5271]], "species": ["Al", "Al", "Cl", "Cl", "Cl", "Cl"], "frac_coords": [[0.2500, 0.2500, 0.0000], [0.7500, 0.7500, 0.0000], [0.2985, 0.7985, 0.0970], [0.7015, 0.2015, 0.9030], [0.2015, 0.2985, 0.5000], [0.7985, 0.7015, 0.5000]]}